[1]
This record from the Alexandria database describes crystalline AlCu2Ru2 at its relaxed geometry. The functional is PBE.

## Properties
Formation energy from the elements (meV/atom): 219
E_tot (eV for the cell shown): -58.78
Energy above the most stable polymorph in this dataset (meV per atom): 0

Cell lengths 5.9930, 5.9930, 3.7757 Å; angles 90.00, 90.00, 90.00 degrees
With the nearest neighbours (Å) after each atom.
Space group P4/mbm (No. 127)
Unique sites:
Al 0.0000 0.0000 0.0000 (multiplicity 2)  4 Cu 2.34
Cu 0.1335 0.3665 0.0000 (multiplicity 4)  1 Cu 2.26, 2 Al 2.34, 2 Ru 2.52
Ru 0.1697 0.6697 0.5000 (multiplicity 4)  6 Cu 2.52-2.63

=====

[2]
This record from the Alexandria database describes crystalline AlCuRu at its relaxed geometry. The functional is PBE.

## Properties
Formation energy from the elements (meV/atom): -249
E_tot (eV for the cell shown): -35.73
Energy above the most stable polymorph in this dataset (meV per atom): 110

Cell lengths 4.1651, 4.1651, 5.3135 Å; angles 90.00, 90.00, 120.00 degrees
With the nearest neighbours (Å) after each atom.
Space group P6_3/mmc (No. 194)
Unique sites:
Al 0.3333 0.6667 0.2500 (multiplicity 2)  5 Cu 2.40-2.66
Cu 0.3333 0.6667 0.7500 (multiplicity 2)  5 Al 2.40-2.66
Ru 0.0000 0.0000 0.0000 (multiplicity 2)  2 Ru 2.66, 6 Cu 2.75, 6 Al 2.75

=====

[3]
This record from the Alexandria database describes crystalline AlCuRu at its relaxed geometry. The functional is PBE.

## Properties
Formation energy from the elements (meV/atom): -360
E_tot (eV for the cell shown): -72.78
Energy above the most stable polymorph in this dataset (meV per atom): 0

Cell lengths 4.0353, 12.6184, 3.1146 Å; angles 90.00, 90.00, 90.00 degrees
With the nearest neighbours (Å) after each atom.
Space group Cmmm (No. 65)
Unique sites:
Al 0.0000 0.1705 0.0000 (multiplicity 4)  6 Ru 2.55-2.64, 2 Cu 2.66, 2 Al 2.85
Cu 0.0000 0.0000 0.5000 (multiplicity 2)  4 Cu 2.55, 4 Al 2.66
Cu 0.0000 0.5000 0.0000 (multiplicity 2)  4 Cu 2.55, 4 Ru 2.56
Ru 0.0000 0.3395 0.5000 (multiplicity 4)  6 Al 2.55-2.64, 2 Cu 2.56

=====

no.,total magnetization (μB per cell)
1,0.0
2,0.0
3,0.0